Record 1
This record from the Alexandria database describes a geometry-optimized TlCuCl3 structure. The functional is PBE.

Values from the calculation:
- Formation energy without anion corrections: -0.64 eV per atom
- Calculated total energy: -15.2 eV/f.u.
- Space-group type: Cmcm, No. 63
- DOS(E_F): 3.687 states/eV/f.u.

a b c (Å): 9.2335 9.2335 6.2103
angles (deg): 90.00 90.00 135.94
Fractional coordinates of all 10 atoms:
Tl  0.1762  0.8238  0.7500
Tl  0.8238  0.1762  0.2500
Cu  0.4048  0.5952  0.7500
Cu  0.5952  0.4048  0.2500
Cl  0.0704  0.4229  0.7500
Cl  0.4229  0.0704  0.2500
Cl  0.5000  0.5000  0.0000
Cl  0.5000  0.5000  0.5000
Cl  0.5771  0.9296  0.7500
Cl  0.9296  0.5771  0.2500

***

Record 2
This record from the Alexandria database describes a geometry-optimized Er2Si4Ir3Pd structure. The functional is PBE.

Values from the calculation:
- Formation energy without anion corrections: -1.00 eV per atom
- Calculated total energy: -72.6 eV/f.u.
- Space-group type: P-4m2, No. 115
- DOS(E_F): 5.266 states/eV/f.u.

a b c (Å): 4.1006 4.1006 9.9985
angles (deg): 90.00 90.00 90.00
Fractional coordinates of all 10 atoms:
Er  0.0000  0.5000  0.2413
Er  0.5000  0.0000  0.7587
Si  0.0000  0.0000  0.0000
Si  0.0000  0.5000  0.6364
Si  0.5000  0.0000  0.3636
Si  0.5000  0.5000  0.0000
Ir  0.0000  0.5000  0.8716
Ir  0.5000  0.0000  0.1284
Ir  0.5000  0.5000  0.5000
Pd  0.0000  0.0000  0.5000

***

Record 3
This record from the Alexandria database describes a geometry-optimized VInSnCl6 structure. The functional is PBE.

Values from the calculation:
- Formation energy without anion corrections: -1.06 eV per atom
- Calculated total energy: -36.5 eV/f.u.
- Space-group type: P312, No. 149
- DOS(E_F): 6.067 states/eV/f.u.

a b c (Å): 6.9195 6.9195 6.6505
angles (deg): 90.00 90.00 120.00
Fractional coordinates of all 9 atoms:
V  0.0000  0.0000  0.0000
In  0.6667  0.3333  0.5000
Sn  0.3333  0.6667  0.0000
Cl  0.0124  0.2894  0.7896
Cl  0.0124  0.7230  0.2104
Cl  0.2770  0.2894  0.2104
Cl  0.2770  0.9876  0.7896
Cl  0.7106  0.7230  0.7896
Cl  0.7106  0.9876  0.2104

***

Record 4
This record from the Alexandria database describes a geometry-optimized RbVSe2Cl structure. The functional is PBE.

Values from the calculation:
- Formation energy without anion corrections: -0.68 eV per atom
- Calculated total energy: -22.3 eV/f.u.
- Space-group type: P4/mmm, No. 123
- DOS(E_F): 1.552 states/eV/f.u.

a b c (Å): 4.7170 4.7170 10.0310
angles (deg): 90.00 90.00 90.00
Fractional coordinates of all 5 atoms:
Rb  0.0000  0.0000  0.0000
V  0.0000  0.0000  0.5000
Se  0.0000  0.5000  0.5000
Se  0.5000  0.0000  0.5000
Cl  0.5000  0.5000  0.0000

***

Record 5
This record from the Alexandria database describes a geometry-optimized Pr4AuSeS2 structure. The functional is PBE.

Values from the calculation:
- Formation energy without anion corrections: -1.64 eV per atom
- Calculated total energy: -47.3 eV/f.u.
- Space-group type: P2/m, No. 10
- DOS(E_F): 5.686 states/eV/f.u.

a b c (Å): 7.3123 4.1712 7.3360
angles (deg): 90.00 109.19 90.00
Fractional coordinates of all 8 atoms:
Pr  0.2428  0.0000  0.2358
Pr  0.2525  0.5000  0.7665
Pr  0.7475  0.5000  0.2335
Pr  0.7572  0.0000  0.7642
Au  0.5000  0.5000  0.5000
Se  0.0000  0.0000  0.5000
S  0.0000  0.5000  0.0000
S  0.5000  0.0000  0.0000

***

Record 6
This record from the Alexandria database describes a geometry-optimized Ca2ScP3Rh12 structure. The functional is PBE.

Values from the calculation:
- Formation energy: -305.8 meV per atom
- Calculated total energy: -120.3 eV/f.u.
- Space-group type: R-3m, No. 166
- DOS(E_F): 17.225 states/eV/f.u.

a b c (Å): 6.6383 6.6383 6.6383
angles (deg): 83.07 83.07 83.07
Fractional coordinates of all 18 atoms:
Ca  0.1160  0.1160  0.1160
Ca  0.8840  0.8840  0.8840
Sc  0.5000  0.5000  0.5000
P  0.0000  0.5000  0.5000
P  0.5000  0.0000  0.5000
P  0.5000  0.5000  0.0000
Rh  0.1360  0.1360  0.5803
Rh  0.1360  0.5803  0.1360
Rh  0.1682  0.6787  0.6787
Rh  0.3213  0.3213  0.8318
Rh  0.3213  0.8318  0.3213
Rh  0.4197  0.8640  0.8640
Rh  0.5803  0.1360  0.1360
Rh  0.6787  0.1682  0.6787
Rh  0.6787  0.6787  0.1682
Rh  0.8318  0.3213  0.3213
Rh  0.8640  0.4197  0.8640
Rh  0.8640  0.8640  0.4197

***

Record 7
This record from the Alexandria database describes a geometry-optimized Ho8In2Tc structure. The functional is PBE.

Values from the calculation:
- Formation energy: -213.8 meV per atom
- Calculated total energy: -54.8 eV/f.u.
- Space-group type: C2/m, No. 12
- DOS(E_F): 8.774 states/eV/f.u.

a b c (Å): 9.0354 9.0354 6.9505
angles (deg): 111.56 111.56 35.31
Fractional coordinates of all 11 atoms:
Ho  0.0073  0.0073  0.2662
Ho  0.1919  0.1919  0.7265
Ho  0.3632  0.3632  0.6022
Ho  0.3869  0.3869  0.1017
Ho  0.6131  0.6131  0.8983
Ho  0.6368  0.6368  0.3978
Ho  0.8081  0.8081  0.2735
Ho  0.9927  0.9927  0.7338
In  0.1853  0.1853  0.1878
In  0.8147  0.8147  0.8122
Tc  0.5000  0.5000  0.5000

***

Record 8
This record from the Alexandria database describes a geometry-optimized CsPb2S3 structure. The functional is PBE.

Values from the calculation:
- Formation energy without anion corrections: -0.57 eV per atom
- Calculated total energy: -24.0 eV/f.u.
- Space-group type: Pmc2_1, No. 26
- DOS(E_F): 2.899 states/eV/f.u.

a b c (Å): 3.9920 12.2457 7.8831
angles (deg): 90.00 90.00 90.00
Fractional coordinates of all 12 atoms:
Cs  0.0000  0.1314  0.0000
Cs  0.0000  0.8686  0.5000
Pb  0.0000  0.2320  0.4985
Pb  0.0000  0.7680  0.9985
Pb  0.5000  0.4870  0.0294
Pb  0.5000  0.5130  0.5294
S  0.0000  0.4038  0.7185
S  0.0000  0.5962  0.2185
S  0.5000  0.1004  0.6272
S  0.5000  0.3141  0.2640
S  0.5000  0.6859  0.7640
S  0.5000  0.8996  0.1272

***

Record 9
This record from the Alexandria database describes a geometry-optimized NdZnHgPd structure. The functional is PBE.

Values from the calculation:
- Formation energy: -427.8 meV per atom
- Calculated total energy: -13.2 eV/f.u.
- Space-group type: F-43m, No. 216
- DOS(E_F): 3.552 states/eV/f.u.

a b c (Å): 4.9170 4.9170 4.9170
angles (deg): 60.00 60.00 60.00
Fractional coordinates of all 4 atoms:
Nd  0.0000  0.0000  0.0000
Zn  0.7500  0.7500  0.7500
Hg  0.5000  0.5000  0.5000
Pd  0.2500  0.2500  0.2500

***

Record 10
This record from the Alexandria database describes a geometry-optimized CaLa3Sm12 structure. The functional is PBE.

Values from the calculation:
- Formation energy: 37.9 meV per atom
- Calculated total energy: -72.8 eV/f.u.
- Space-group type: P4/mmm, No. 123
- DOS(E_F): 26.377 states/eV/f.u.

a b c (Å): 5.1886 5.1886 20.6829
angles (deg): 90.00 90.00 90.00
Fractional coordinates of all 16 atoms:
Ca  0.0000  0.0000  0.0000
La  0.0000  0.0000  0.2501
La  0.0000  0.0000  0.5000
La  0.0000  0.0000  0.7499
Sm  0.0000  0.5000  0.1278
Sm  0.0000  0.5000  0.3757
Sm  0.0000  0.5000  0.6243
Sm  0.0000  0.5000  0.8722
Sm  0.5000  0.0000  0.1278
Sm  0.5000  0.0000  0.3757
Sm  0.5000  0.0000  0.6243
Sm  0.5000  0.0000  0.8722
Sm  0.5000  0.5000  0.0000
Sm  0.5000  0.5000  0.2489
Sm  0.5000  0.5000  0.5000
Sm  0.5000  0.5000  0.7511

***

Record 11
This record from the Alexandria database describes a geometry-optimized ZnCrMo2I structure. The functional is PBE.

Values from the calculation:
- Formation energy without anion corrections: 2.54 eV per atom
- Calculated total energy: -21.4 eV/f.u.
- Space-group type: P4/mmm, No. 123
- DOS(E_F): 6.649 states/eV/f.u.

a b c (Å): 4.9129 4.9129 4.8799
angles (deg): 90.00 90.00 90.00
Fractional coordinates of all 5 atoms:
Zn  0.0000  0.0000  0.0000
Cr  0.5000  0.5000  0.0000
Mo  0.0000  0.5000  0.5000
Mo  0.5000  0.0000  0.5000
I  0.0000  0.0000  0.5000

***

Record 12
This record from the Alexandria database describes a geometry-optimized CdTcP2 structure. The functional is PBE.

Values from the calculation:
- Formation energy: 522.8 meV per atom
- Calculated total energy: -20.0 eV/f.u.
- Space-group type: I-4m2, No. 119
- DOS(E_F): 3.012 states/eV/f.u.

a b c (Å): 5.1986 5.1986 5.1986
angles (deg): 137.59 137.59 61.53
Fractional coordinates of all 4 atoms:
Cd  0.0000  0.0000  0.0000
Tc  0.7500  0.2500  0.5000
P  0.2500  0.7500  0.5000
P  0.5000  0.5000  0.0000

***

> The lowest calculated total energy belongs to which entry?

Ca2ScP3Rh12

***

> DOS(E_F) of number 2 (Er2Si4Ir3Pd)?

5.266 states/eV/f.u.